(1)
A relaxed structure of AlSb2Ir. Source: Alexandria via LeMat-Bulk, functional GGA-PBE.

Geometry as POSCAR:
```
AlSb2Ir
1.0
-2.046 0.067 -3.430
-0.943 -3.413 -1.848
-6.589 -1.365 1.590
Sb Ir Al
2 1 1
direct
0.988 0.988 0.035
0.512 0.512 0.465
0.250 0.250 0.250
0.750 0.750 0.750
```

## Properties
* formation energy from raw total energies: 0.023 eV per atom
* space-group type: C2/m, No. 12

=====

(2)
A relaxed structure of La2CdIn8. Source: Alexandria via LeMat-Bulk, functional GGA-PBE.

Geometry as POSCAR:
```
La2CdIn8
1.0
4.939 0.000 0.000
0.000 4.939 0.000
0.000 0.000 12.438
La Cd In
2 1 8
direct
0.000 0.000 0.311
0.000 0.000 0.689
0.000 0.000 0.000
0.000 0.500 0.500
0.500 0.000 0.500
0.500 0.500 0.311
0.500 0.500 0.689
0.000 0.500 0.133
0.500 0.000 0.133
0.000 0.500 0.867
0.500 0.000 0.867
```

## Properties
* formation enthalpy at 0 K: -0.325 eV/atom
* space-group type: P4/mmm, No. 123

=====

(3)
A relaxed structure of Dy5ThSb6. Source: Alexandria via LeMat-Bulk, functional GGA-PBE.

Geometry as POSCAR:
```
Dy5ThSb6
1.0
7.635 0.208 0.000
2.349 7.262 0.000
1.175 3.631 6.607
Dy Th Sb
5 1 6
direct
0.500 0.165 0.671
0.000 0.333 0.335
0.500 0.500 0.000
0.000 0.667 0.665
0.500 0.835 0.329
0.000 0.000 0.000
0.746 0.085 0.337
0.254 0.578 0.337
0.251 0.254 0.000
0.749 0.746 0.000
0.746 0.422 0.663
0.254 0.915 0.663
```

## Properties
* formation energy from raw total energies: -1.106 eV per atom
* space-group type: C2/m, No. 12

=====

Across the entries above, density of states at the Fermi level takes the values 2.01 2.98 3.06 states/eV/f.u., respectively.